{
  "formula": "InAg3GeO4",
  "functional": "GGA-PBE",
  "state": "optimized geometry",
  "lattice": [[-1.997, -1.444, -4.599], [-4.598, -0.922, 2.286], [-1.445, 4.928, -0.920]],
  "species": ["Ag", "Ag", "Ag", "Ge", "In", "O", "O", "O", "O"],
  "frac_coords": [[0.500, 0.000, 0.000], [0.000, 0.500, 0.000], [0.000, 0.000, 0.500], [0.000, 0.000, 0.000], [0.500, 0.500, 0.500], [0.733, 0.267, 0.267], [0.267, 0.733, 0.267], [0.267, 0.267, 0.733], [0.733, 0.733, 0.733]],
  "space_group": "P-43m (215)",
  "energy_ev_per_atom": -4.326
}

***

{
  "formula": "Y2Er3Lu2Ni2Te2",
  "functional": "GGA-PBE",
  "state": "optimized geometry",
  "lattice": [[1.682, -3.239, 8.507], [4.345, 7.719, -2.688], [-6.983, -5.056, 3.371]],
  "species": ["Er", "Er", "Er", "Lu", "Lu", "Ni", "Ni", "Te", "Te", "Y", "Y"],
  "frac_coords": [[0.263, 0.896, 0.368], [0.976, 0.476, 0.500], [0.528, 0.896, 0.632], [0.894, 0.748, 0.147], [0.601, 0.748, 0.853], [0.664, 0.402, 0.262], [0.140, 0.402, 0.738], [0.242, 0.242, 0.000], [0.641, 0.141, 0.500], [0.283, 0.098, 0.185], [0.913, 0.098, 0.815]],
  "e_above_lowest_polymorph_mev_per_atom": 21,
  "space_group": "Imm2 (44)",
  "total_magnetization_mub_per_cell": 0.011,
  "energy_ev_per_atom": -5.492
}

***

{
  "formula": "HfIn2Ge",
  "functional": "GGA-PBE",
  "state": "optimized geometry",
  "lattice": [[1.836, -1.414, 4.462], [1.763, 3.453, 3.201], [-2.538, 1.053, 4.210]],
  "species": ["Ge", "Hf", "In", "In"],
  "frac_coords": [[0.750, 0.750, 0.750], [0.500, 0.500, 0.500], [0.000, 0.000, 0.000], [0.250, 0.250, 0.250]],
  "space_group": "F-43m (216)",
  "total_magnetization_mub_per_cell": 0.004,
  "energy_ev_per_atom": -4.764
}

***

{
  "formula": "TbTm2PdPt2Pb3",
  "functional": "GGA-PBE",
  "state": "optimized geometry",
  "lattice": [[-3.255, -0.163, -2.161], [1.449, -7.456, -1.620], [-4.230, 1.901, 6.229]],
  "species": ["Pb", "Pb", "Pb", "Pd", "Pt", "Pt", "Tb", "Tm", "Tm"],
  "frac_coords": [[0.500, 0.263, 0.000], [0.500, 0.000, 0.263], [0.500, 0.737, 0.737], [0.000, 0.997, 0.997], [0.500, 0.671, 0.333], [0.500, 0.333, 0.671], [0.000, 0.406, 0.406], [0.000, 0.593, 0.000], [0.000, 0.000, 0.593]],
  "space_group": "Amm2 (38)",
  "total_magnetization_mub_per_cell": 0.003,
  "energy_ev_per_atom": -5.472
}

***

{
  "formula": "YErAu2O4",
  "functional": "GGA-PBE",
  "state": "optimized geometry",
  "lattice": [[3.511, 0.000, 0.000], [-1.756, 3.041, 0.000], [0.000, 0.000, 12.219]],
  "species": ["Au", "Au", "Er", "O", "O", "O", "O", "Y"],
  "frac_coords": [[0.333, 0.667, 0.251], [0.667, 0.333, 0.749], [0.000, 0.000, 0.500], [0.333, 0.667, 0.084], [0.333, 0.667, 0.419], [0.667, 0.333, 0.581], [0.667, 0.333, 0.916], [0.000, 0.000, 0.000]],
  "space_group": "P-3m1 (164)",
  "total_magnetization_mub_per_cell": 0.002,
  "energy_ev_per_atom": -6.917
}

***

{
  "formula": "PmHoHg",
  "functional": "GGA-PBE",
  "state": "optimized geometry",
  "lattice": [[0.209, -4.944, -1.400], [-1.453, -3.669, 3.298], [-4.345, -2.625, -0.825]],
  "species": ["Hg", "Ho", "Pm"],
  "frac_coords": [[0.000, 0.000, 0.000], [0.250, 0.250, 0.250], [0.750, 0.750, 0.750]],
  "e_above_lowest_polymorph_mev_per_atom": 0,
  "space_group": "F-43m (216)",
  "formation_enthalpy_0k_ev_per_atom": -0.10,
  "total_magnetization_mub_per_cell": 0.111,
  "energy_ev_per_atom": -3.308
}

***

{
  "formula": "LuUCd",
  "functional": "GGA-PBE",
  "state": "optimized geometry",
  "lattice": [[-0.536, 2.251, 4.369], [-4.491, 1.389, 1.531], [-2.176, -2.372, 3.752]],
  "species": ["Cd", "Lu", "U"],
  "frac_coords": [[0.000, 0.000, 0.000], [0.750, 0.750, 0.750], [0.500, 0.500, 0.500]],
  "e_above_lowest_polymorph_mev_per_atom": 0,
  "space_group": "F-43m (216)",
  "formation_enthalpy_0k_ev_per_atom": 1.02,
  "total_magnetization_mub_per_cell": 3.369,
  "energy_ev_per_atom": -4.547
}

***

{
  "formula": "Dy3Ho3NiTe2",
  "functional": "GGA-PBE",
  "state": "optimized geometry",
  "lattice": [[-3.938, 7.046, -2.177], [3.303, -4.932, -5.886], [-3.338, -1.942, -0.246]],
  "species": ["Dy", "Dy", "Dy", "Ho", "Ho", "Ho", "Ni", "Te", "Te"],
  "frac_coords": [[0.761, 0.000, 0.500], [0.239, 0.239, 0.500], [0.000, 0.761, 0.500], [0.402, 0.000, 0.000], [0.000, 0.402, 0.000], [0.598, 0.598, 0.000], [0.000, 0.000, 0.000], [0.667, 0.333, 0.500], [0.333, 0.667, 0.500]],
  "e_above_lowest_polymorph_mev_per_atom": 14,
  "space_group": "P-62m (189)",
  "total_magnetization_mub_per_cell": 0.932,
  "energy_ev_per_atom": -5.070
}

***

{
  "formula": "SiB4Ir",
  "functional": "GGA-PBE",
  "state": "optimized geometry",
  "lattice": [[3.016, 0.000, 0.000], [-1.508, 2.612, 0.000], [0.000, 0.000, 6.704]],
  "species": ["B", "B", "B", "B", "Ir", "Si"],
  "frac_coords": [[0.667, 0.333, 0.238], [0.333, 0.667, 0.238], [0.667, 0.333, 0.762], [0.333, 0.667, 0.762], [0.000, 0.000, 0.500], [0.000, 0.000, 0.000]],
  "e_above_lowest_polymorph_mev_per_atom": 0,
  "space_group": "P6/mmm (191)",
  "total_magnetization_mub_per_cell": 0.009,
  "energy_ev_per_atom": -6.397
}

***

{
  "formula": "Y2TmAl3Cu2Pd",
  "functional": "GGA-PBE",
  "state": "optimized geometry",
  "lattice": [[-3.593, 0.044, -1.945], [-3.336, 0.346, 6.170], [1.864, 5.906, -3.311]],
  "species": ["Al", "Al", "Al", "Cu", "Cu", "Pd", "Tm", "Y", "Y"],
  "frac_coords": [[0.500, 0.240, 0.240], [0.500, 0.000, 0.760], [0.500, 0.760, 0.000], [0.500, 0.665, 0.338], [0.500, 0.338, 0.665], [0.000, 0.996, 0.996], [0.000, 0.583, 0.583], [0.000, 0.419, 0.001], [0.000, 0.001, 0.419]],
  "space_group": "Amm2 (38)",
  "total_magnetization_mub_per_cell": 0.034,
  "energy_ev_per_atom": -5.173
}

***

{
  "formula": "Sr2CuAgH6",
  "functional": "GGA-PBE",
  "state": "optimized geometry",
  "lattice": [[0.000, 3.837, 3.837], [3.837, 0.000, 3.837], [3.837, 3.837, 0.000]],
  "species": ["Ag", "Cu", "H", "H", "H", "H", "H", "H", "Sr", "Sr"],
  "frac_coords": [[0.000, 0.000, 0.000], [0.500, 0.500, 0.500], [0.735, 0.265, 0.265], [0.735, 0.735, 0.265], [0.265, 0.735, 0.265], [0.265, 0.265, 0.735], [0.735, 0.265, 0.735], [0.265, 0.735, 0.735], [0.250, 0.250, 0.250], [0.750, 0.750, 0.750]],
  "space_group": "Fm-3m (225)",
  "energy_ev_per_atom": -3.286
}

***

{
  "formula": "CuAg9",
  "functional": "GGA-PBE",
  "state": "optimized geometry",
  "lattice": [[4.363, 5.830, -2.496], [-5.726, -1.613, 4.885], [3.623, -2.300, 2.634]],
  "species": ["Ag", "Ag", "Ag", "Ag", "Ag", "Ag", "Ag", "Ag", "Ag", "Cu"],
  "frac_coords": [[0.803, 0.197, 0.000], [0.598, 0.402, 0.000], [0.402, 0.598, 0.000], [0.197, 0.803, 0.000], [0.903, 0.097, 0.500], [0.700, 0.300, 0.500], [0.500, 0.500, 0.500], [0.300, 0.700, 0.500], [0.097, 0.903, 0.500], [0.000, 0.000, 0.000]],
  "e_above_lowest_polymorph_mev_per_atom": 13,
  "space_group": "C2/m (12)",
  "formation_enthalpy_0k_ev_per_atom": 0.03,
  "energy_ev_per_atom": -2.883
}